1.
## BaCdRh (PBE)

Data for BaCdRh after structural relaxation.

abc: 5.2199 5.2199 5.2199
angles: 60.00 60.00 60.00
Closest atoms and distances in Å follow each position.
Sites, in units of the cell vectors:
Ba: 0.0000 0.0000 0.0000  4 Cd 3.20, 4 Rh 3.20
Cd: 0.2500 0.2500 0.2500  4 Ba 3.20
Rh: 0.7500 0.7500 0.7500  4 Ba 3.20

Calculated values
Symmetry: F-43m (216)
Density of states at the Fermi level, states/eV/f.u.: 4.36
Crystal system: cubic
Magnetization, μB per formula unit: 0.0
E_form, eV per formula unit: 1.937
V, Å³ per atom: 33.52

***

2.
## CsBe4As3O12 (PBE)

Data for CsBe4As3O12 after structural relaxation.

abc: 6.2655 6.2655 6.2655
angles: 105.08 105.08 105.08
Closest atoms and distances in Å follow each position.
Sites, in units of the cell vectors:
Cs: 0.0000 0.0000 0.0000  6 O 2.64
Be: 0.0704 0.5000 0.9296  3 O 1.53-1.65
Be: 0.5000 0.5000 0.5000  3 O 1.61
Be: 0.5000 0.9296 0.0704  3 O 1.53-1.65
Be: 0.9296 0.0704 0.5000  3 O 1.53-1.65
As: 0.0000 0.5569 0.4431  4 O 1.75-1.95
As: 0.4431 0.0000 0.5569  4 O 1.75-1.95
As: 0.5569 0.4431 0.0000  4 O 1.75-1.95
O: 0.0172 0.6057 0.7362  1 Be 1.53
O: 0.0951 0.9049 0.5000  1 Be 1.65
O: 0.2638 0.3943 0.9828  1 Be 1.53
O: 0.3380 0.6620 0.5000  1 Be 1.61
O: 0.3943 0.9828 0.2638  1 Be 1.53
O: 0.5000 0.0951 0.9049  1 Be 1.65
O: 0.5000 0.3380 0.6620  1 Be 1.61
O: 0.6057 0.7362 0.0172  1 Be 1.53
O: 0.6620 0.5000 0.3380  1 Be 1.61
O: 0.7362 0.0172 0.6057  1 Be 1.53
O: 0.9049 0.5000 0.0951  1 Be 1.65
O: 0.9828 0.2638 0.3943  1 Be 1.53

Calculated values
Formation energy (no corrections), eV per atom: -1.612
Symmetry: R32 (155)
Crystal system: trigonal
Magnetization, μB per formula unit: 0.0
V, Å³ per atom: 10.73

***

| no. | calculated density (g/cm³) |
| --- | --- |
| 1 | 5.8 |
| 2 | 4.5 |